First-principles (PBE) data for crystalline LiNb2Br8 at its relaxed geometry, as listed in the Alexandria database.

## Properties
theoretical density	2.97	g cm⁻³
Fermi-level density of states	22.00	states/eV per cell

Geometry as CIF:
```
data_LiNb2Br8
_chemical_formula_sum 'Li2 Nb4 Br16'
_cell_length_a 13.075
_cell_length_b 10.307
_cell_length_c 6.904
_cell_angle_alpha 90.00
_cell_angle_beta 91.05
_cell_angle_gamma 90.00
_space_group_name_H-M_alt 'C 1 2/m 1'
_space_group_IT_number 12
_space_group_name_Hall '-C 2y'
loop_
_atom_site_label
_atom_site_type_symbol
_atom_site_fract_x
_atom_site_fract_y
_atom_site_fract_z
Li1 Li 0.000 0.000 0.000
Nb1 Nb 0.199 0.000 0.651
Br1 Br 0.103 0.183 0.800
Br2 Br 0.121 0.500 0.246
Br3 Br 0.179 0.000 0.295
```

First-principles (PBE) data for crystalline LiNb2Br6 at its relaxed geometry, as listed in the Alexandria database.

## Properties
relative energy among the computed polymorphs	0.00	eV per formula unit
theoretical density	4.36	g cm⁻³
Fermi-level density of states	4.63	states/eV per cell

Geometry as CIF:
```
data_LiNb2Br6
_chemical_formula_sum 'Li2 Nb4 Br12'
_cell_length_a 15.158
_cell_length_b 3.560
_cell_length_c 11.198
_cell_angle_alpha 90.00
_cell_angle_beta 122.08
_cell_angle_gamma 90.00
_space_group_name_H-M_alt 'C 1 2/m 1'
_space_group_IT_number 12
_space_group_name_Hall '-C 2y'
loop_
_atom_site_label
_atom_site_type_symbol
_atom_site_fract_x
_atom_site_fract_y
_atom_site_fract_z
Li1 Li 0.000 0.000 0.000
Nb1 Nb 0.192 0.500 0.377
Br1 Br 0.032 0.000 0.272
Br2 Br 0.150 0.500 0.109
Br3 Br 0.167 0.500 0.592
```

First-principles (PBE) data for crystalline LiNb2Br6 at its relaxed geometry, as listed in the Alexandria database.

## Properties
relative energy among the computed polymorphs	2.46	eV per formula unit
theoretical density	4.32	g cm⁻³
Fermi-level density of states	22.95	states/eV per cell

Geometry as CIF:
```
data_LiNb2Br6
_chemical_formula_sum 'Li4 Nb8 Br24'
_cell_length_a 17.194
_cell_length_b 10.099
_cell_length_c 6.407
_cell_angle_alpha 90.00
_cell_angle_beta 111.80
_cell_angle_gamma 90.00
_space_group_name_H-M_alt 'C 1 2/c 1'
_space_group_IT_number 15
_space_group_name_Hall '-C 2yc'
loop_
_atom_site_label
_atom_site_type_symbol
_atom_site_fract_x
_atom_site_fract_y
_atom_site_fract_z
Li1 Li 0.000 0.018 0.250
Nb1 Nb 0.245 0.052 0.332
Br1 Br 0.089 0.134 0.068
Br2 Br 0.131 0.476 0.809
Br3 Br 0.197 0.184 0.651
```

| no. | ΔE_f (raw) (meV per atom) | E_tot (eV per cell) |
| --- | --- | --- |
| 1 | -822.5 | -88.97 |
| 2 | -1015.7 | -82.46 |
| 3 | -741.8 | -155.07 |